Material: FeReF2
Method: DFT, PBE with a Hubbard U
State: relaxed

abc: 4.1316 4.1316 4.1316
angles: 60.00 60.00 60.00
Last column: nearest neighbours and their distance in Å.
Positions (direct):
Fe (0.0000, 0.0000, 0.0000)  8 F 2.53
Re (0.5000, 0.5000, 0.5000)  8 F 2.53
F (0.2500, 0.2500, 0.2500)  4 Re 2.53, 4 Fe 2.53
F (0.7500, 0.7500, 0.7500)  4 Fe 2.53, 4 Re 2.53

Offset from the most stable computed form ... 1074.8 meV/atom
N(E_F) ... 0.78 states/eV per atom
SG ... No. 225